Entry 1:
Below is a relaxed structure of YTmZnNi2, with properties calculated at the PBE-GGA level.

The total magnetization is 0.00 μB per cell. The calculation puts the total energy at -51.5 eV/cell. The volume is 180.84 Å³ per cell. Its formation energy is -0.4822 eV per atom.

The structure belongs to space group Imm2 (No. 44); the cell edges are 4.2198, 5.3564 and 8.0007 Å and the angles 90.00°, 90.00° and 90.00°. Symmetry generates all atoms from Y at (0.0000, 0.0000, 0.0000), Tm at (0.0000, 0.0000, 0.5923), Zn at (0.0000, 0.5000, 0.7963) and Ni at (0.0000, 0.2716, 0.2965).


Entry 2:
Below is a relaxed structure of PmAgO2, with properties calculated at the PBE-GGA level.

The total magnetization is 0.00 μB per cell. The calculation puts the total energy at -78.6 eV/cell. The volume is 217.08 Å³ per cell.

The structure belongs to space group P3_221 (No. 154); the cell edges are 3.6632, 3.6632 and 18.6796 Å and the angles 90.00°, 90.00° and 120.00°. Symmetry generates all atoms from Pm at (0.0000, 0.3294, 0.3333), Ag at (0.0000, 0.3354, 0.8333) and O at (0.0040, 0.3373, 0.9438).


Entry 3:
Below is a relaxed structure of Hg2BIr, with properties calculated at the PBE-GGA level.

The total magnetization is 0.31 μB per cell. The calculation puts the total energy at -44.1 eV/cell. The volume is 267.06 Å³ per cell.

The structure belongs to space group F-43m (No. 216); the cell edges are 6.4398, 6.4398 and 6.4398 Å and the angles 90.00°, 90.00° and 90.00°. Symmetry generates all atoms from Hg at (0.0000, 0.0000, 0.0000), Hg at (0.2500, 0.2500, 0.2500), B at (0.0000, 0.0000, 0.5000) and Ir at (0.2500, 0.2500, 0.7500).


Entry 4:
Below is a relaxed structure of SrTmB, with properties calculated at the PBE-GGA level.

The total magnetization is 0.01 μB per cell. The calculation puts the total energy at -45.6 eV/cell. The volume is 294.78 Å³ per cell. Its relative energy among the computed polymorphs is 0 kJ/mol of formula units.

The structure belongs to space group F-43m (No. 216); the cell edges are 6.6553, 6.6553 and 6.6553 Å and the angles 90.00°, 90.00° and 90.00°. Symmetry generates all atoms from Sr at (0.0000, 0.0000, 0.0000), Tm at (0.0000, 0.0000, 0.5000) and B at (0.2500, 0.2500, 0.2500).


Entry 5:
Below is a relaxed structure of YHf, with properties calculated at the PBE-GGA level.

The total magnetization is 0.10 μB per cell. The calculation puts the total energy at -45.9 eV/cell. The volume is 273.83 Å³ per cell. Its formation energy is 2.4758 eV per atom.

The structure belongs to space group F-43m (No. 216); the cell edges are 6.4937, 6.4937 and 6.4937 Å and the angles 90.00°, 90.00° and 90.00°. Symmetry generates all atoms from Y at (0.0000, 0.0000, 0.0000) and Hf at (0.2500, 0.2500, 0.2500).


Entry 6:
Below is a relaxed structure of Nd2YSn4Au4, with properties calculated at the PBE-GGA level.

The total magnetization is 0.03 μB per cell. The calculation puts the total energy at -105.2 eV/cell. The volume is 532.34 Å³ per cell.

The structure belongs to space group Immm (No. 71); the cell edges are 4.6869, 7.2654 and 15.6329 Å and the angles 90.00°, 90.00° and 90.00°. Symmetry generates all atoms from Nd at (0.0000, 0.0000, 0.1296), Y at (0.0000, 0.5000, 0.0000), Sn at (0.0000, 0.2997, 0.5000), Sn at (0.0000, 0.5000, 0.2125) and Au at (0.0000, 0.2018, 0.3306).


Entry 7:
Below is a relaxed structure of Er2Cu5Ni5, with properties calculated at the PBE-GGA level.

The total magnetization is 0.00 μB per cell. The calculation puts the total energy at -59.1 eV/cell. The volume is 166.48 Å³ per cell. Its formation energy is -0.2937 eV per atom.

The structure belongs to space group Pmmm (No. 47); the cell edges are 4.0320, 4.8841 and 8.4540 Å and the angles 90.00°, 90.00° and 90.00°. Symmetry generates all atoms from Er at (0.0000, 0.0000, 0.0000), Er at (0.0000, 0.5000, 0.5000), Cu at (0.5000, 0.0000, 0.5000), Cu at (0.5000, 0.2503, 0.2484), Ni at (0.0000, 0.0000, 0.3348), Ni at (0.0000, 0.5000, 0.1622) and Ni at (0.5000, 0.5000, 0.0000).


Entry 8:
Below is a relaxed structure of RbScNbSe3, with properties calculated at the PBE-GGA level.

The total magnetization is 0.45 μB per cell. The calculation puts the total energy at -70.4 eV/cell. The volume is 318.23 Å³ per cell. Its relative energy among the computed polymorphs is 0 kJ/mol of formula units.

The structure belongs to space group P2_1/m (No. 11); the cell edges are 8.9416, 3.8455 and 10.0502 Å and the angles 90.00°, 112.95° and 90.00°. Symmetry generates all atoms from Rb at (0.0055, 0.2500, 0.2478), Sc at (0.4178, 0.7500, 0.6039), Nb at (0.4977, 0.7500, 0.1095), Se at (0.2326, 0.2500, 0.6367), Se at (0.2867, 0.2500, 0.0052) and Se at (0.3515, 0.7500, 0.3223).


Entry 9:
Below is a relaxed structure of YTmSiCl2, with properties calculated at the PBE-GGA level.

The total magnetization is 0.00 μB per cell. The calculation puts the total energy at -27.9 eV/cell. The volume is 134.34 Å³ per cell.

The structure belongs to space group P3m1 (No. 156); the cell edges are 4.0149, 4.0149 and 9.6232 Å and the angles 90.00°, 90.00° and 120.00°. Symmetry generates all atoms from Y at (0.0000, 0.0000, 0.0000), Tm at (0.3333, 0.6667, 0.6661), Si at (0.6667, 0.3333, 0.8308), Cl at (0.0000, 0.0000, 0.5054) and Cl at (0.3333, 0.6667, 0.1659).


Entry 10:
Below is a relaxed structure of TbDy2Mg3AlTl2, with properties calculated at the PBE-GGA level.

The total magnetization is 0.01 μB per cell. The calculation puts the total energy at -59.6 eV/cell. The volume is 450.52 Å³ per cell.

The structure belongs to space group Amm2 (No. 38); the cell edges are 4.6111, 13.0200 and 7.5040 Å and the angles 90.00°, 90.00° and 90.00°. Symmetry generates all atoms from Tb at (0.0000, 0.0000, 0.0000), Dy at (0.0000, 0.2134, 0.6407), Mg at (0.5000, 0.0000, 0.6649), Mg at (0.5000, 0.1185, 0.3089), Al at (0.0000, 0.0000, 0.4285) and Tl at (0.5000, 0.1671, 0.9273).


Entry 11:
Below is a relaxed structure of LiBeCoSn, with properties calculated at the PBE-GGA level.

The total magnetization is 0.00 μB per cell. The calculation puts the total energy at -67.7 eV/cell. The volume is 204.66 Å³ per cell. Its relative energy among the computed polymorphs is 0 kJ/mol of formula units.

The structure belongs to space group F-43m (No. 216); the cell edges are 5.8931, 5.8931 and 5.8931 Å and the angles 90.00°, 90.00° and 90.00°. Symmetry generates all atoms from Li at (0.0000, 0.0000, 0.0000), Be at (0.2500, 0.2500, 0.2500), Co at (0.0000, 0.0000, 0.5000) and Sn at (0.2500, 0.2500, 0.7500).


Entry 12:
Below is a relaxed structure of ZnCo8, with properties calculated at the PBE-GGA level.

The total magnetization is 50.45 μB per cell. The calculation puts the total energy at -226.5 eV/cell. The volume is 661.72 Å³ per cell. Its formation energy is 0.1660 eV per atom.

The structure belongs to space group C2/m (No. 12); the cell edges are 7.8413, 3.4645 and 24.3582 Å and the angles 90.00°, 90.34° and 90.00°. Symmetry generates all atoms from Zn at (0.0484, 0.0000, 0.2217), Co at (0.0488, 0.5000, 0.3868), Co at (0.0508, 0.0000, 0.5485), Co at (0.0529, 0.5000, 0.7114), Co at (0.1490, 0.0000, 0.6455), Co at (0.1500, 0.5000, 0.4836), Co at (0.1514, 0.0000, 0.3233), Co at (0.2483, 0.0000, 0.4189) and Co at (0.2482, 0.5000, 0.2605).